Entry from Alexandria via LeMat-Bulk: Zn2Ga8Ni3 after structural relaxation (PBE).

Total DFT energy (no corrections) (eV/atom): -3.5622
DOS at the Fermi energy (states/eV/atom): 0.336
Total magnetic moment (μB per atom): 0.000
Crystal system: monoclinic
ΔE_f (meV/atom): -169

```
Zn2Ga8Ni3
1.0
4.034 0.000 0.000
0.000 6.958 -4.181
0.000 -0.439 7.624
Ga Zn Ni
8 2 3
Direct
0.000 0.379 0.777
0.500 0.810 0.163
0.500 0.604 0.710
0.000 0.108 0.251
0.000 0.621 0.223
0.000 0.892 0.749
0.500 0.190 0.837
0.500 0.396 0.290
0.500 0.189 0.504
0.500 0.811 0.496
0.500 0.000 0.000
0.000 0.262 0.053
0.000 0.738 0.947
```



Entry from Alexandria via LeMat-Bulk: NiAgOs2 after structural relaxation (PBE).

Total DFT energy (no corrections) (eV/atom): -7.1855
DOS at the Fermi energy (states/eV/atom): 1.466
Total magnetic moment (μB per atom): 0.000
Crystal system: tetragonal
ΔE_f (meV/atom): 588
Energy relative to the lowest polymorph listed for this composition (kJ/mol of formula units): 112

```
NiAgOs2
1.0
-1.020 2.053 1.336
-2.446 -0.932 -0.436
0.406 -4.299 6.915
Ni Ag Os
1 1 2
Direct
0.500 0.500 0.750
0.500 0.500 0.250
0.000 0.000 0.529
0.000 0.000 0.971
```